# 1
The following is a PBE-GGA calculation of a relaxed structure of Sm5Pd2Rh2, from Alexandria.

Space-group type: Ima2
E_tot in eV/atom: -6.05
DOS(E_F) in states/eV/f.u.: 5.6
Calculated formation energy in eV per atom: -0.645
Polymorph energy (0 for the lowest one) in eV per atom: 0.068
V in Å³/cell: 446.6

Unit cell a=10.3646 b=10.3646 c=10.3646 alpha=57.31 beta=142.72 gamma=138.11
Element x y z (fractional)
Sm: 0.1728 0.0727 0.2455
Sm: 0.1728 0.4273 0.6001
Sm: 0.1998 0.5212 0.9897
Sm: 0.1998 0.7100 0.1786
Sm: 0.5314 0.0212 0.8214
Sm: 0.5314 0.2100 0.0103
Sm: 0.5886 0.4752 0.6134
Sm: 0.8272 0.5727 0.3999
Sm: 0.8272 0.9273 0.7545
Sm: 0.8618 0.9752 0.3866
Pd: 0.5834 0.1009 0.3485
Pd: 0.5834 0.7349 0.9825
Pd: 0.7524 0.2349 0.6515
Pd: 0.7524 0.6009 0.0175
Rh: 0.0406 0.3184 0.2221
Rh: 0.0963 0.8184 0.7779
Rh: 0.2966 0.2966 0.0000
Rh: 0.2966 0.7966 0.5000

# 2
The following is a PBE-GGA calculation of a relaxed structure of Ti3MnGa6, from Alexandria.

Space-group type: C2/m
E_tot in eV/atom: -5.25
DOS(E_F) in states/eV/f.u.: 5.3
Calculated formation energy in eV per atom: -0.149
V in Å³/cell: 168.2

Unit cell a=5.3703 b=5.3703 c=7.6811 alpha=113.68 beta=113.68 gamma=58.84
Element x y z (fractional)
Ti: 0.0000 0.0000 0.0000
Ti: 0.1341 0.1341 0.7036
Ti: 0.8659 0.8659 0.2964
Mn: 0.5000 0.5000 0.5000
Ga: 0.1181 0.6248 0.6700
Ga: 0.3324 0.3324 0.1055
Ga: 0.3752 0.8819 0.3300
Ga: 0.6248 0.1181 0.6700
Ga: 0.6676 0.6676 0.8945
Ga: 0.8819 0.3752 0.3300